1.
## NiP2RhO (GGA+U)

Data for a relaxed structure of NiP2RhO.

For the total energy, the calculation gives -4.566 eV/atom. Its crystal system is tetragonal.

The space group is P4/mmm (No. 123) and the conventional cell measures 4.7736, 4.7736 and 3.6548 Å, with angles of 90.00, 90.00 and 90.00 degrees. The distinct sites, in fractional coordinates, are Ni at (0.0000, 0.0000, 0.0000), P at (0.0000, 0.5000, 0.5000), Rh at (0.5000, 0.5000, 0.5000) and O at (0.5000, 0.5000, 0.0000).


2.
## Ni2PRuO6 (GGA+U)

Data for a relaxed structure of Ni2PRuO6.

For the total energy, the calculation gives -5.790 eV/atom. Its crystal system is tetragonal.

The space group is P4mm (No. 99) and the conventional cell measures 5.2816, 5.2816 and 4.0481 Å, with angles of 90.00, 90.00 and 90.00 degrees. The distinct sites, in fractional coordinates, are Ni at (0.0000, 0.5000, 0.0000), P at (0.0000, 0.0000, 0.6815), Ru at (0.5000, 0.5000, 0.7085), O at (0.0000, 0.0000, 0.3101), O at (0.2204, 0.2204, 0.8060) and O at (0.5000, 0.5000, 0.2186).


3.
## NiP2SO (GGA+U)

Data for a relaxed structure of NiP2SO.

For the total energy, the calculation gives -3.888 eV/atom. Its crystal system is tetragonal.

The space group is P4/mmm (No. 123) and the conventional cell measures 4.5278, 4.5278 and 3.4773 Å, with angles of 90.00, 90.00 and 90.00 degrees. The distinct sites, in fractional coordinates, are Ni at (0.0000, 0.0000, 0.0000), P at (0.0000, 0.5000, 0.0000), S at (0.5000, 0.5000, 0.5000) and O at (0.0000, 0.0000, 0.5000).


4.
## NiP2SO (GGA+U)

Data for a relaxed structure of NiP2SO.

For the total energy, the calculation gives -3.672 eV/atom. Its crystal system is tetragonal.

The space group is P4/mmm (No. 123) and the conventional cell measures 3.9668, 3.9668 and 4.6658 Å, with angles of 90.00, 90.00 and 90.00 degrees. The distinct sites, in fractional coordinates, are Ni at (0.0000, 0.0000, 0.0000), P at (0.0000, 0.5000, 0.5000), S at (0.5000, 0.5000, 0.0000) and O at (0.5000, 0.5000, 0.5000).


5.
## NiP2SO (GGA+U)

Data for a relaxed structure of NiP2SO.

For the total energy, the calculation gives -3.634 eV/atom. Its crystal system is tetragonal.

The space group is P4/mmm (No. 123) and the conventional cell measures 4.5841, 4.5841 and 3.2747 Å, with angles of 90.00, 90.00 and 90.00 degrees. The distinct sites, in fractional coordinates, are Ni at (0.0000, 0.0000, 0.0000), P at (0.0000, 0.5000, 0.5000), S at (0.5000, 0.5000, 0.5000) and O at (0.5000, 0.5000, 0.0000).


6.
## NiP2SO (GGA+U)

Data for a relaxed structure of NiP2SO.

For the total energy, the calculation gives -3.260 eV/atom. Its crystal system is tetragonal.

The space group is P4/mmm (No. 123) and the conventional cell measures 4.2721, 4.2721 and 4.4378 Å, with angles of 90.00, 90.00 and 90.00 degrees. The distinct sites, in fractional coordinates, are Ni at (0.0000, 0.0000, 0.0000), P at (0.0000, 0.5000, 0.0000), S at (0.0000, 0.0000, 0.5000) and O at (0.5000, 0.5000, 0.5000).


7.
## NiSbP2O9 (GGA+U)

Data for a relaxed structure of NiSbP2O9.

For the total energy, the calculation gives -6.408 eV/atom. Its crystal system is orthorhombic.

The space group is Pnma (No. 62) and the conventional cell measures 14.0281, 6.4017 and 7.9414 Å, with angles of 90.00, 90.00 and 90.00 degrees. The distinct sites, in fractional coordinates, are Ni at (0.0000, 0.0000, 0.0000), Sb at (0.1192, 0.2500, 0.3429), P at (0.0577, 0.7500, 0.3436), P at (0.1913, 0.7500, 0.9116), O at (0.0061, 0.7500, 0.1739), O at (0.0111, 0.2500, 0.5057), O at (0.0387, 0.2500, 0.1467), O at (0.1262, 0.5606, 0.3587), O at (0.1330, 0.5500, 0.9344), O at (0.2179, 0.2500, 0.5334) and O at (0.2470, 0.7500, 0.7371).


8.
## NiSbP2O8 (GGA+U)

Data for a relaxed structure of NiSbP2O8.

For the total energy, the calculation gives -6.520 eV/atom. Its crystal system is monoclinic.

The space group is P2_1/m (No. 11) and the conventional cell measures 4.9055, 6.1483 and 10.0190 Å, with angles of 90.00, 92.45 and 90.00 degrees. The distinct sites, in fractional coordinates, are Ni at (0.0788, 0.2500, 0.2245), Sb at (0.4340, 0.2500, 0.7190), P at (0.1149, 0.7500, 0.0887), P at (0.3683, 0.7500, 0.5926), O at (0.1568, 0.7500, 0.9408), O at (0.1941, 0.2500, 0.8854), O at (0.2240, 0.5535, 0.6634), O at (0.2680, 0.5545, 0.1658), O at (0.2871, 0.7500, 0.4412) and O at (0.3248, 0.2500, 0.3862).